Crystalline La4MgAg3 at its relaxed geometry, computed with PBE.

**ΔE_f**: -0.21 eV/atom
**Electronic total energy**: -31.56 eV per cell
**Theoretical density**: 6.5 Mg/m³

Structure (CIF):
```
data_La4MgAg3
_chemical_formula_sum 'La4 Mg1 Ag3'
_cell_length_a 3.878
_cell_length_b 5.439
_cell_length_c 10.878
_cell_angle_alpha 90.00
_cell_angle_beta 90.00
_cell_angle_gamma 90.00
_space_group_name_H-M_alt 'P m m m'
_space_group_IT_number 47
loop_
_space_group_symop_operation_xyz
'x,y,z'
'-x,-y,-z'
'-x,-y,z'
'x,y,-z'
'x,-y,-z'
'-x,y,z'
'-x,y,-z'
'x,-y,z'
loop_
_atom_site_label
_atom_site_fract_x
_atom_site_fract_y
_atom_site_fract_z
_atom_site_occupancy
La1 0.000 0.000 0.000 1
La2 0.000 0.000 0.500 1
La3 0.000 0.500 0.240 1
Mg1 0.500 0.500 0.500 1
Ag1 0.500 0.000 0.260 1
Ag2 0.500 0.500 0.000 1
```